No. 1
Entry from Alexandria via LeMat-Bulk: a geometry-optimized CrAsSe2I structure (GGA-PBEsol).

Cell lengths 4.634, 4.634, 5.453 Å; angles 90.00, 90.00, 90.00 degrees
Atoms (fractional coordinates):
Cr 0.000 0.000 0.000
As 0.500 0.500 0.500
Se 0.000 0.500 0.000
Se 0.500 0.000 0.000
I 0.000 0.000 0.500

M_tot, μB/atom: 0.518
E_tot, eV/atom: -4.547
DOS(E_F), states/eV per cell: 4.45
Volume, A^3/atom: 23.42
E_form (uncorrected), kJ/mol of atoms: 40

***

No. 2
Entry from Alexandria via LeMat-Bulk: a geometry-optimized CrAsIr2 structure (GGA-PBEsol).

Cell lengths 2.722, 2.722, 8.967 Å; angles 90.00, 90.00, 119.28 degrees
Atoms (fractional coordinates):
Cr 0.000 0.000 0.000
As 0.000 0.000 0.500
Ir 0.500 0.500 0.231
Ir 0.500 0.500 0.769

M_tot, μB/atom: 0.420
E_tot, eV/atom: -8.416
DOS(E_F), states/eV per cell: 4.76
Volume, A^3/atom: 14.49
ΔH_f (0 K), eV per atom: 0.332

***

No. 3
Entry from Alexandria via LeMat-Bulk: a geometry-optimized CrAsIr2 structure (GGA-PBEsol).

Cell lengths 2.752, 4.482, 4.542 Å; angles 90.00, 90.00, 90.00 degrees
Atoms (fractional coordinates):
Cr 0.000 0.000 0.000
As 0.500 0.000 0.500
Ir 0.000 0.500 0.500
Ir 0.500 0.500 0.000

M_tot, μB/atom: 0.380
E_tot, eV/atom: -8.564
DOS(E_F), states/eV per cell: 4.61
Volume, A^3/atom: 14.00
ΔH_f (0 K), eV per atom: 0.185

***

No. 4
Entry from Alexandria via LeMat-Bulk: a geometry-optimized CrAsIr2 structure (GGA-PBEsol).

Cell lengths 3.185, 3.185, 5.617 Å; angles 90.00, 90.00, 90.00 degrees
Atoms (fractional coordinates):
Cr 0.000 0.000 0.000
As 0.000 0.000 0.500
Ir 0.500 0.500 0.239
Ir 0.500 0.500 0.761

M_tot, μB/atom: 0.719
E_tot, eV/atom: -8.596
DOS(E_F), states/eV per cell: 2.92
Volume, A^3/atom: 14.24
ΔH_f (0 K), eV per atom: 0.153

***

No. 5
Entry from Alexandria via LeMat-Bulk: a geometry-optimized CrAsIr structure (GGA-PBEsol).

Cell lengths 4.167, 4.167, 2.806 Å; angles 90.00, 90.00, 120.00 degrees
Atoms (fractional coordinates):
Cr 0.000 0.000 0.000
As 0.667 0.333 0.500
Ir 0.333 0.667 0.500

M_tot, μB/atom: 0.756
E_tot, eV/atom: -8.377
DOS(E_F), states/eV per cell: 2.72
Volume, A^3/atom: 14.07
ΔH_f (0 K), eV per atom: 0.014

***

No. 6
Entry from Alexandria via LeMat-Bulk: a geometry-optimized CrAsIr2 structure (GGA-PBEsol).

Cell lengths 3.819, 5.416, 5.416 Å; angles 29.37, 90.00, 90.00 degrees
Atoms (fractional coordinates):
Cr 0.000 0.000 0.000
As 0.500 0.606 0.606
Ir 0.000 0.747 0.747
Ir 0.500 0.380 0.380

M_tot, μB/atom: 0.000
E_tot, eV/atom: -8.749
DOS(E_F), states/eV per cell: 3.55
Volume, A^3/atom: 13.73
ΔH_f (0 K), eV per atom: 0.000

***

No. 7
Entry from Alexandria via LeMat-Bulk: a geometry-optimized CrAs2IrSe structure (GGA-PBEsol).

Cell lengths 4.500, 4.500, 4.460 Å; angles 90.00, 90.00, 90.00 degrees
Atoms (fractional coordinates):
Cr 0.000 0.000 0.000
As 0.000 0.500 0.000
As 0.500 0.000 0.000
Ir 0.500 0.500 0.500
Se 0.000 0.000 0.500

M_tot, μB/atom: 0.000
E_tot, eV/atom: -5.958
DOS(E_F), states/eV per cell: 2.57
Volume, A^3/atom: 18.07
E_form (uncorrected), kJ/mol of atoms: 84

***

No. 8
Entry from Alexandria via LeMat-Bulk: a geometry-optimized Cr2AsIrW structure (GGA-PBEsol).

Cell lengths 4.625, 4.625, 4.725 Å; angles 90.00, 90.00, 90.00 degrees
Atoms (fractional coordinates):
Cr 0.000 0.500 0.000
Cr 0.500 0.000 0.000
As 0.000 0.000 0.500
Ir 0.500 0.500 0.000
W 0.500 0.500 0.500

M_tot, μB/atom: 1.022
E_tot, eV/atom: -8.308
DOS(E_F), states/eV per cell: 5.01
Volume, A^3/atom: 20.22
ΔH_f (0 K), eV per atom: 1.536

***

No. 9
Entry from Alexandria via LeMat-Bulk: a geometry-optimized K2Cr2AsO10 structure (GGA-PBEsol).

Cell lengths 7.668, 7.668, 14.106 Å; angles 90.00, 90.00, 120.00 degrees
Atoms (fractional coordinates):
K 0.001 0.628 0.000
K 0.372 0.372 0.333
K 0.428 0.427 0.834
K 0.573 0.001 0.167
K 0.628 0.999 0.667
K 0.999 0.572 0.500
Cr 0.006 0.578 0.759
Cr 0.422 0.428 0.093
Cr 0.425 0.421 0.574
Cr 0.572 0.994 0.426
Cr 0.579 0.004 0.907
Cr 0.996 0.575 0.241
As 0.001 0.110 0.001
As 0.110 0.999 0.667
As 0.890 0.890 0.334
O 0.026 0.089 0.756
O 0.063 0.974 0.423
O 0.090 0.023 0.913
O 0.094 0.500 0.321
O 0.141 0.536 0.834
O 0.167 0.764 0.184
O 0.169 0.817 0.701
O 0.183 0.352 0.035
O 0.236 0.404 0.517
O 0.351 0.182 0.632
O 0.396 0.859 0.500
O 0.406 0.239 0.149
O 0.406 0.906 0.987
O 0.464 0.604 0.167
O 0.496 0.091 0.346
O 0.500 0.594 0.654
O 0.536 0.139 0.834
O 0.596 0.504 0.013
O 0.596 0.833 0.850
O 0.603 0.464 0.500
O 0.648 0.831 0.368
O 0.761 0.167 0.483
O 0.818 0.169 0.965
O 0.831 0.649 0.299
O 0.833 0.594 0.816
O 0.861 0.397 0.167
O 0.909 0.404 0.680
O 0.911 0.937 0.090
O 0.934 0.910 0.579
O 0.977 0.066 0.246

M_tot, μB/atom: 0.072
E_tot, eV/atom: -6.896
DOS(E_F), states/eV per cell: 18.13
Volume, A^3/atom: 15.96
E_form (uncorrected), kJ/mol of atoms: -149

***

No. 10
Entry from Alexandria via LeMat-Bulk: a geometry-optimized K2CrAsPt structure (GGA-PBEsol).

Cell lengths 6.313, 6.313, 4.498 Å; angles 90.00, 90.00, 90.00 degrees
Atoms (fractional coordinates):
K 0.000 0.500 0.000
K 0.500 0.000 0.000
Cr 0.000 0.000 0.500
As 0.500 0.500 0.000
Pt 0.500 0.500 0.500

M_tot, μB/atom: 1.088
E_tot, eV/atom: -4.333
DOS(E_F), states/eV per cell: 1.90
Volume, A^3/atom: 35.85
ΔH_f (0 K), eV per atom: 0.583

***

No. 11
Entry from Alexandria via LeMat-Bulk: a geometry-optimized LaCrAs2 structure (GGA-PBEsol).

Cell lengths 4.886, 4.886, 4.886 Å; angles 60.00, 60.00, 60.00 degrees
Atoms (fractional coordinates):
La 0.000 0.000 0.000
Cr 0.500 0.500 0.500
As 0.250 0.250 0.250
As 0.750 0.750 0.750

M_tot, μB/atom: 0.802
E_tot, eV/atom: -6.804
DOS(E_F), states/eV per cell: 3.72
Volume, A^3/atom: 20.62
ΔH_f (0 K), eV per atom: -0.354

***

No. 12
Entry from Alexandria via LeMat-Bulk: a geometry-optimized LaCrAs2 structure (GGA-PBEsol).

Cell lengths 3.980, 4.067, 5.633 Å; angles 90.00, 90.00, 90.00 degrees
Atoms (fractional coordinates):
La 0.000 0.000 0.000
Cr 0.000 0.500 0.500
As 0.500 0.500 0.242
As 0.500 0.500 0.758

M_tot, μB/atom: 0.848
E_tot, eV/atom: -6.947
DOS(E_F), states/eV per cell: 2.19
Volume, A^3/atom: 22.79
ΔH_f (0 K), eV per atom: -0.497

***

E_tot of number 4 (CrAsIr2)? -8.596 eV/atom

***

What is the volume in the seventh record? 18.07 A^3/atom

***

The highest M_tot belongs to which entry? K2CrAsPt